# Er3S3OF (PBEsol, relaxed)
data_Er3S3OF
_chemical_formula_sum 'Er6 S6 O2 F2'
_symmetry_space_group_name_H-M 'I -4 m 2'
_symmetry_Int_Tables_number 119
_symmetry_space_group_name_Hall 'I -4 -2'
_cell_length_a 3.708
_cell_length_b 3.708
_cell_length_c 20.624
_cell_angle_alpha 90.00
_cell_angle_beta 90.00
_cell_angle_gamma 90.00
loop_
_atom_site_label
_atom_site_fract_x
_atom_site_fract_y
_atom_site_fract_z
Er1 0.000 0.000 0.000
Er2 0.000 0.000 0.314
S1 0.000 0.000 0.129
S2 0.000 0.000 0.500
O1 0.000 0.500 0.250
F1 0.000 0.500 0.750
# Fermi-level density of states   0.17 states/eV/f.u.
# Mass density   7.41 g/cm3
# Energy relative to the elements, uncorrected   -22.36 eV/f.u.